{
  "formula": "ReNiO2F",
  "functional": "PBE+U",
  "state": "optimized geometry",
  "volume_a3_per_atom": 11.4,
  "e_tot_ev_per_cell": -26.76,
  "lattice_angstrom": [[3.9193, 0.0000, 0.0000], [0.0000, 3.9193, 0.0000], [0.0000, 0.0000, 3.7238]],
  "species": ["Ni", "F", "O", "O", "Re"],
  "frac_coords": [[0.0000, 0.0000, 0.0000], [0.0000, 0.0000, 0.5000], [0.5000, 0.0000, 0.0000], [0.0000, 0.5000, 0.0000], [0.5000, 0.5000, 0.5000]]
}